Record 1
Here is a geometry-optimized YPdRuPb structure from the Alexandria database. Energies are from PBE.

Summary:
- raw total energy (Ha/atom) = -0.2379
- crystal system = cubic
- magnetization (μB/cell) = 0.0

abc: 6.7959 6.7959 6.7959
angles: 90.00 90.00 90.00
Last column: nearest neighbours and their distance in Å.
Space group F-43m (No. 216)
One atom of each set of equivalent atoms:
Y  0.0000  0.0000  0.0000 (multiplicity 4)  4 Ru 2.94, 4 Pd 2.94
Pd  0.2500  0.2500  0.2500 (multiplicity 4)  4 Pb 2.94, 4 Y 2.94
Ru  0.2500  0.2500  0.7500 (multiplicity 4)  4 Pb 2.94, 4 Y 2.94
Pb  0.0000  0.0000  0.5000 (multiplicity 4)  4 Pd 2.94, 4 Ru 2.94

Record 2
Here is a geometry-optimized ZnPd2RuPb structure from the Alexandria database. Energies are from PBE.

Summary:
- raw total energy (Ha/atom) = -0.1295
- crystal system = tetragonal
- magnetization (μB/cell) = 2.6

abc: 5.0303 5.0303 4.9189
angles: 90.00 90.00 90.00
Last column: nearest neighbours and their distance in Å.
Space group P4/mmm (No. 123)
One atom of each set of equivalent atoms:
Zn  0.0000  0.0000  0.0000 (multiplicity 1)  2 Pb 2.46
Pd  0.0000  0.5000  0.5000 (multiplicity 2)  2 Pb 2.52
Ru  0.5000  0.5000  0.0000 (multiplicity 1)  8 Pd 3.52, 4 Zn 3.56
Pb  0.0000  0.0000  0.5000 (multiplicity 1)  2 Zn 2.46, 4 Pd 2.52

Record 3
Here is a geometry-optimized Pd8Pb2S structure from the Alexandria database. Energies are from PBE.

Summary:
- raw formation energy (eV/f.u.) = -2.20
- crystal system = monoclinic
- magnetization (μB/cell) = 0.0

abc: 15.0675 4.6743 5.8005
angles: 90.00 112.59 90.00
Last column: nearest neighbours and their distance in Å.
Space group C2/m (No. 12)
One atom of each set of equivalent atoms:
Pd  0.9998  0.0000  0.2377 (multiplicity 4)  2 S 2.71, 7 Pd 2.76-3.03, 2 Pb 2.94-2.95
Pd  0.1270  0.5000  0.3821 (multiplicity 4)  1 S 2.31
Pd  0.1278  0.5000  0.8743 (multiplicity 4)  1 S 2.31
Pd  0.1939  0.0000  0.1949 (multiplicity 4)  8 Pd 2.86-3.03, 4 Pb 2.90-2.91
Pb  0.1811  0.0000  0.6812 (multiplicity 4)  12 Pd 2.84-3.05
S  0.0000  0.5000  0.0000 (multiplicity 2)  4 Pd 2.31

Record 4
Here is a geometry-optimized PdPbS2 structure from the Alexandria database. Energies are from PBE.

Summary:
- raw formation energy (eV/f.u.) = 0.02
- crystal system = trigonal
- magnetization (μB/cell) = 0.0

abc: 4.0263 4.0263 22.7859
angles: 90.00 90.00 120.00
Last column: nearest neighbours and their distance in Å.
Space group R-3m (No. 166, hexagonal axes)
One atom of each set of equivalent atoms:
Pd  0.0000  0.0000  0.0000 (multiplicity 3)  2 S 2.25
Pb  0.0000  0.0000  0.5000 (multiplicity 3)  6 S 2.79
S  0.0000  0.0000  0.0987 (multiplicity 6)  1 Pd 2.25